VASP calculation (PBE-GGA) on crystalline Dy2TmSe2S2 at its relaxed geometry.

Lattice parameters (Å, degrees): 8.0360 8.0360 8.0360 143.70 143.70 52.28
Element x y z (fractional)
1 Dy 0.1199 0.1199 0.0000
2 Dy 0.8801 0.8801 0.0000
3 Tm 0.5000 0.5000 0.0000
4 Se 0.3108 0.3108 0.0000
5 Se 0.6892 0.6892 0.0000
6 S 0.0000 0.5000 0.5000
7 S 0.5000 0.0000 0.5000

Output
Calculated volume, Å³/atom: 25.8
Calculated density, g cm⁻³: 6.57
Electronic total energy, eV/atom: -5.64
Density of states at the Fermi level, states/eV per atom: 0.344
Formation energy (no corrections), eV/f.u.: -10.575